Computed, not measured: an optimized crystal structure of SrMn2CoIr at the PBE-GGA level of DFT.

Unit cell a=4.5950 b=4.7088 c=4.5950 alpha=90.00 beta=90.00 gamma=90.00
Last column: nearest neighbours and their distance in Å.
Fractional positions:
1 Sr 0.5000 0.5000 0.5000  4 Ir 3.25, 8 Mn 3.29
2 Ir 0.0000 0.5000 0.0000  2 Co 2.35
3 Co 0.0000 0.0000 0.0000  4 Mn 2.30, 2 Ir 2.35
4 Mn 0.0000 0.0000 0.5000  2 Co 2.30
5 Mn 0.5000 0.0000 0.0000  2 Co 2.30

Results
- energy of formation from the pure elements (eV per atom) = 0.476

***

Computed, not measured: an optimized crystal structure of HfPI2N at the PBE-GGA level of DFT.

Unit cell a=5.7233 b=5.7233 c=3.3978 alpha=90.00 beta=90.00 gamma=90.00
Last column: nearest neighbours and their distance in Å.
Fractional positions:
1 I 0.0000 0.5000 0.0000  2 P 2.86
2 I 0.5000 0.0000 0.0000  2 P 2.86
3 P 0.0000 0.0000 0.0000  2 N 1.70
4 Hf 0.5000 0.5000 0.5000  8 I 3.33, 2 Hf 3.40
5 N 0.0000 0.0000 0.5000  2 P 1.70

Results
- formation energy without anion corrections (eV/atom) = 0.696
- offset from the most stable computed form (kJ/mol of formula units) = 150

***

Computed, not measured: an optimized crystal structure of ZrSnGe2 at the PBE-GGA level of DFT.

Unit cell a=6.2924 b=6.2924 c=7.5082 alpha=65.23 beta=65.23 gamma=90.00
Last column: nearest neighbours and their distance in Å.
Fractional positions:
1 Ge 0.6239 0.1250 0.2500  2 Zr 2.69, 2 Sn 2.69
2 Ge 0.1261 0.6250 0.2500  2 Zr 2.69, 2 Sn 2.69
3 Ge 0.3750 0.3761 0.7500  2 Zr 2.69, 2 Sn 2.69
4 Ge 0.8750 0.8739 0.7500  2 Zr 2.69, 2 Sn 2.69
5 Sn 0.0000 0.0000 0.0000  4 Ge 2.69
6 Sn 0.7500 0.2500 0.5000  4 Ge 2.69
7 Zr 0.5000 0.5000 0.0000  4 Ge 2.69
8 Zr 0.2500 0.7500 0.5000  4 Ge 2.69

Results
- energy of formation from the pure elements (eV per atom) = 0.240

***

Computed, not measured: an optimized crystal structure of PmThAlIn at the PBE-GGA level of DFT.

Unit cell a=5.3724 b=5.3724 c=5.3724 alpha=60.00 beta=60.00 gamma=60.00
Last column: nearest neighbours and their distance in Å.
Fractional positions:
1 In 0.7500 0.7500 0.7500  4 Th 3.29, 4 Pm 3.29
2 Al 0.2500 0.2500 0.2500  4 Th 3.29, 4 Pm 3.29
3 Th 0.0000 0.0000 0.0000  4 In 3.29, 4 Al 3.29
4 Pm 0.5000 0.5000 0.5000  4 Al 3.29, 4 In 3.29

Results
- energy of formation from the pure elements (eV per atom) = -0.267

***

Computed, not measured: an optimized crystal structure of Li3Ac2Tl2 at the PBE-GGA level of DFT.

Unit cell a=5.0929 b=6.3268 c=7.1810 alpha=107.60 beta=90.00 gamma=113.73
Last column: nearest neighbours and their distance in Å.
Fractional positions:
1 Li 0.5000 0.0000 0.0000  2 Li 2.86
2 Li 0.6086 0.2171 0.4201  2 Li 2.86-3.09, 3 Tl 2.92-3.01
3 Li 0.3914 0.7829 0.5799  2 Li 2.86-3.09, 3 Tl 2.92-3.01
4 Ac 0.8522 0.7045 0.2317  5 Tl 3.40-3.72, 7 Li 3.49-3.80
5 Ac 0.1478 0.2955 0.7683  5 Tl 3.40-3.72, 7 Li 3.49-3.80
6 Tl 0.8504 0.7009 0.7484  5 Li 2.92-3.27
7 Tl 0.1496 0.2991 0.2516  5 Li 2.92-3.27

Results
- energy of formation from the pure elements (eV per atom) = -0.230